P | {
  "formula": "HoCd3Hg2",
  "functional": "PBE",
  "state": "optimized geometry",
  "lattice": [[5.770, 0.000, 0.000], [0.000, 5.858, -2.989], [0.000, 0.604, 8.418]],
  "species": ["Ho", "Ho", "Cd", "Cd", "Cd", "Cd", "Cd", "Cd", "Hg", "Hg", "Hg", "Hg"],
  "frac_coords": [[0.750, 0.353, 0.706], [0.250, 0.647, 0.294], [0.750, 0.841, 0.682], [0.250, 0.159, 0.318], [0.750, 0.931, 0.350], [0.250, 0.069, 0.650], [0.750, 0.419, 0.350], [0.250, 0.581, 0.650], [0.000, 0.752, 0.000], [0.500, 0.248, 0.000], [0.000, 0.248, 0.000], [0.500, 0.752, 0.000]],
  "spacegroup": "Cmcm, No. 63"
}

---

Q | {
  "formula": "HoCd3Hg2",
  "functional": "PBE",
  "state": "optimized geometry",
  "lattice": [[6.283, -0.076, 0.717], [-0.830, 6.228, 0.717], [0.070, 0.079, 7.573]],
  "species": ["Ho", "Ho", "Cd", "Cd", "Cd", "Cd", "Cd", "Cd", "Hg", "Hg", "Hg", "Hg"],
  "frac_coords": [[0.935, 0.065, 0.250], [0.065, 0.935, 0.750], [0.811, 0.618, 0.520], [0.382, 0.189, 0.980], [0.189, 0.382, 0.480], [0.618, 0.811, 0.020], [0.599, 0.401, 0.250], [0.401, 0.599, 0.750], [0.103, 0.646, 0.120], [0.354, 0.897, 0.380], [0.897, 0.354, 0.880], [0.646, 0.103, 0.620]],
  "spacegroup": "C2/c, No. 15"
}

---

Stability, highest: P